Here is MgNiBIr2 after structural relaxation from Alexandria via LeMat-Bulk. Energies are from PBE.

Its crystal system is tetragonal. Its energy of formation is -0.294 eV/atom.

The space group is P4/mmm (No. 123) and the conventional cell measures 4.118, 4.118 and 3.902 Å, with angles of 90.00, 90.00 and 90.00 degrees. Symmetry generates all atoms from Mg at (0.000, 0.000, 0.000), Ni at (0.500, 0.500, 0.000), B at (0.500, 0.500, 0.500) and Ir at (0.000, 0.500, 0.500).


Here is PuTaN after structural relaxation from Alexandria via LeMat-Bulk. Energies are from PBE.

The energy above the most stable polymorph in this dataset comes out at 0.000 eV/atom. Its crystal system is trigonal. The calculation puts the energy relative to the elements, uncorrected at -1.78 eV/f.u.

The space group is P3m1 (No. 156) and the conventional cell measures 3.1671, 3.1671 and 5.5723 Å, with angles of 90.00, 90.00 and 120.00 degrees. Symmetry generates all atoms from Pu at (0.0000, 0.0000, 0.0000), Ta at (0.6667, 0.3333, 0.4939) and N at (0.3333, 0.6667, 0.2878).